A relaxed ScCl3 crystal, computed with PBEsol.

The crystal system is orthorhombic.

a b c (Å): 3.311 9.801 6.285
angles (deg): 90.00 90.00 90.00
Space group Pmmn (No. 59, origin choice 2)
Inequivalent atoms, fractional coordinates:
Sc: 0.250 0.250 0.075 x2
Cl: 0.250 0.587 0.772 x4
Cl: 0.250 0.750 0.220 x2

A relaxed Sc2Cl crystal, computed with PBEsol.

The crystal system is orthorhombic.

a b c (Å): 3.355 13.742 5.186
angles (deg): 90.00 90.00 90.00
Space group Cmcm (No. 63)
Inequivalent atoms, fractional coordinates:
Sc: 0.000 0.048 0.250 x4
Sc: 0.000 0.359 0.250 x4
Cl: 0.000 0.299 0.750 x4

A relaxed ScCl3 crystal, computed with PBEsol.

The crystal system is hexagonal.

a b c (Å): 3.4407 3.4407 8.6279
angles (deg): 90.00 90.00 120.00
Space group P-6m2 (No. 187)
Inequivalent atoms, fractional coordinates:
Sc: 0.0000 0.0000 0.0000 x1
Cl: 0.0000 0.0000 0.5000 x1
Cl: 0.6667 0.3333 0.1825 x2

A relaxed ScCl3 crystal, computed with PBEsol.

The crystal system is tetragonal.

a b c (Å): 3.196 3.196 7.586
angles (deg): 90.00 90.00 90.00
Space group P4/mmm (No. 123)
Inequivalent atoms, fractional coordinates:
Sc: 0.000 0.000 0.000 x1
Cl: 0.000 0.000 0.500 x1
Cl: 0.500 0.500 0.191 x2

A relaxed Sc2Cl crystal, computed with PBEsol.

The crystal system is monoclinic.

a b c (Å): 12.158 3.278 7.147
angles (deg): 90.00 117.09 90.00
Space group C2/m (No. 12)
Inequivalent atoms, fractional coordinates:
Sc: 0.016 0.000 0.314 x4
Sc: 0.217 0.500 0.674 x4
Cl: 0.132 0.500 0.981 x4

A relaxed Sc2Cl crystal, computed with PBEsol.

The crystal system is trigonal.

a b c (Å): 3.3611 3.3611 6.2124
angles (deg): 90.00 90.00 120.00
Space group P-3m1 (No. 164)
Inequivalent atoms, fractional coordinates:
Sc: 0.3333 0.6667 0.3117 x2
Cl: 0.0000 0.0000 0.0000 x1

A relaxed ScCl3 crystal, computed with PBEsol.

The crystal system is orthorhombic.

a b c (Å): 4.934 12.488 3.612
angles (deg): 90.00 90.00 90.00
Space group Cmmm (No. 65)
Inequivalent atoms, fractional coordinates:
Sc: 0.000 0.000 0.000 x2
Cl: 0.000 0.136 0.500 x4
Cl: 0.000 0.500 0.000 x2

A relaxed Sc4Cl3 crystal, computed with PBEsol.

The crystal system is hexagonal.

a b c (Å): 5.7826 5.7826 4.8348
angles (deg): 90.00 90.00 120.00
Space group P6/mmm (No. 191)
Inequivalent atoms, fractional coordinates:
Sc: 0.0000 0.0000 0.2368 x2
Sc: 0.3333 0.6667 0.0000 x2
Cl: 0.0000 0.5000 0.5000 x3

A relaxed ScCl3 crystal, computed with PBEsol.

The crystal system is orthorhombic.

a b c (Å): 3.304 10.054 6.281
angles (deg): 90.00 90.00 90.00
Space group Imm2 (No. 44)
Inequivalent atoms, fractional coordinates:
Sc: 0.000 0.000 0.000 x2
Cl: 0.000 0.339 0.351 x4
Cl: 0.000 0.500 0.796 x2

A relaxed Sc5Cl8 crystal, computed with PBEsol.

The crystal system is monoclinic.

a b c (Å): 18.427 3.507 12.926
angles (deg): 90.00 133.83 90.00
Space group C2/m (No. 12)
Inequivalent atoms, fractional coordinates:
Sc: 0.000 0.000 0.000 x2
Sc: 0.003 0.500 0.626 x4
Sc: 0.166 0.000 0.659 x4
Cl: 0.010 0.500 0.873 x4
Cl: 0.125 0.000 0.434 x4
Cl: 0.135 0.000 0.815 x4
Cl: 0.193 0.000 0.205 x4

A relaxed Sc2SeCl crystal, computed with PBEsol.

The crystal system is tetragonal. The energy above the most stable polymorph in this dataset is 0 meV/atom.

a b c (Å): 5.816 5.816 11.711
angles (deg): 90.00 90.00 90.00
Space group I-42d (No. 122)
Inequivalent atoms, fractional coordinates:
Sc: 0.240 0.250 0.125 x8
Se: 0.000 0.000 0.500 x4
Cl: 0.000 0.000 0.000 x4

A relaxed ScSeCl2 crystal, computed with PBEsol.

The crystal system is orthorhombic. The energy above the most stable polymorph in this dataset is 0 meV/atom.

a b c (Å): 3.147 4.800 13.485
angles (deg): 90.00 90.00 90.00
Space group Imm2 (No. 44)
Inequivalent atoms, fractional coordinates:
Sc: 0.000 0.000 0.000 x2
Se: 0.000 0.500 0.663 x2
Cl: 0.000 0.000 0.509 x2
Cl: 0.000 0.500 0.360 x2

A relaxed ScSeCl2 crystal, computed with PBEsol.

The crystal system is trigonal. The energy above the most stable polymorph in this dataset is 99 meV/atom.

a b c (Å): 3.2981 3.2981 27.7889
angles (deg): 90.00 90.00 120.00
Space group R-3m (No. 166, hexagonal axes)
Inequivalent atoms, fractional coordinates:
Sc: 0.0000 0.0000 0.0000 x3
Se: 0.0000 0.0000 0.5000 x3
Cl: 0.0000 0.0000 0.2757 x6

A relaxed ScSeCl2 crystal, computed with PBEsol.

The crystal system is tetragonal. The energy above the most stable polymorph in this dataset is 402 meV/atom.

a b c (Å): 4.250 4.250 8.444
angles (deg): 90.00 90.00 90.00
Space group I4/mmm (No. 139)
Inequivalent atoms, fractional coordinates:
Sc: 0.000 0.000 0.000 x2
Se: 0.000 0.000 0.500 x2
Cl: 0.000 0.500 0.250 x4

A relaxed ScSeCl crystal, computed with PBEsol.

The crystal system is trigonal.

a b c (Å): 3.7330 3.7330 6.1470
angles (deg): 90.00 90.00 120.00
Space group P3m1 (No. 156)
Inequivalent atoms, fractional coordinates:
Sc: 0.0000 0.0000 0.0000 x1
Se: 0.6667 0.3333 0.7678 x1
Cl: 0.3333 0.6667 0.2476 x1

A relaxed Sc2SeCl crystal, computed with PBEsol.

The crystal system is cubic. The energy above the most stable polymorph in this dataset is 626 meV/atom.

a b c (Å): 6.860 6.860 6.860
angles (deg): 90.00 90.00 90.00
Space group F-43m (No. 216)
Inequivalent atoms, fractional coordinates:
Sc: 0.000 0.000 0.000 x4
Sc: 0.250 0.250 0.250 x4
Se: 0.250 0.250 0.750 x4
Cl: 0.000 0.000 0.500 x4

A relaxed ScSiCl2 crystal, computed with PBEsol.

The crystal system is tetragonal. The energy above the most stable polymorph in this dataset is 287 meV/atom.

a b c (Å): 6.227 6.227 11.443
angles (deg): 90.00 90.00 90.00
Space group I-42d (No. 122)
Inequivalent atoms, fractional coordinates:
Sc: 0.000 0.000 0.000 x4
Si: 0.000 0.000 0.500 x4
Cl: 0.180 0.250 0.125 x8

A relaxed ScSiCl2 crystal, computed with PBEsol.

The crystal system is tetragonal. The energy above the most stable polymorph in this dataset is 0 meV/atom.

a b c (Å): 4.218 4.218 8.337
angles (deg): 90.00 90.00 90.00
Space group I4/mmm (No. 139)
Inequivalent atoms, fractional coordinates:
Sc: 0.000 0.000 0.000 x2
Si: 0.000 0.000 0.500 x2
Cl: 0.000 0.500 0.250 x4

A relaxed Sc2SiCl crystal, computed with PBEsol.

The crystal system is tetragonal. The energy above the most stable polymorph in this dataset is 0 meV/atom.

a b c (Å): 3.754 3.754 5.256
angles (deg): 90.00 90.00 90.00
Space group P4/mmm (No. 123)
Inequivalent atoms, fractional coordinates:
Sc: 0.000 0.000 0.000 x1
Sc: 0.500 0.500 0.500 x1
Si: 0.000 0.000 0.500 x1
Cl: 0.500 0.500 0.000 x1

A relaxed Sc2SiCl crystal, computed with PBEsol.

The crystal system is tetragonal. The energy above the most stable polymorph in this dataset is 494 meV/atom.

a b c (Å): 3.162 3.162 7.984
angles (deg): 90.00 90.00 90.00
Space group P4mm (No. 99)
Inequivalent atoms, fractional coordinates:
Sc: 0.000 0.000 0.000 x1
Sc: 0.500 0.500 0.339 x1
Si: 0.000 0.000 0.546 x1
Cl: 0.500 0.500 0.850 x1

A relaxed ScSi2Cl crystal, computed with PBEsol.

The crystal system is monoclinic. The energy above the most stable polymorph in this dataset is 0 meV/atom.

a b c (Å): 8.076 3.660 5.923
angles (deg): 90.00 120.86 90.00
Space group Cm (No. 8)
Inequivalent atoms, fractional coordinates:
Sc: 0.000 0.000 0.000 x2
Si: 0.079 0.500 0.432 x2
Si: 0.306 0.000 0.571 x2
Cl: 0.233 0.500 0.064 x2

A relaxed ScSi2Cl crystal, computed with PBEsol.

The crystal system is orthorhombic. The energy above the most stable polymorph in this dataset is 103 meV/atom.

a b c (Å): 3.142 3.953 11.357
angles (deg): 90.00 90.00 90.00
Space group Immm (No. 71)
Inequivalent atoms, fractional coordinates:
Sc: 0.000 0.000 0.000 x2
Si: 0.000 0.500 0.280 x4
Cl: 0.000 0.000 0.500 x2

A relaxed ScSiCl2 crystal, computed with PBEsol.

The crystal system is trigonal. The energy above the most stable polymorph in this dataset is 122 meV/atom.

a b c (Å): 3.2731 3.2731 27.6694
angles (deg): 90.00 90.00 120.00
Space group R-3m (No. 166, hexagonal axes)
Inequivalent atoms, fractional coordinates:
Sc: 0.0000 0.0000 0.0000 x3
Si: 0.0000 0.0000 0.5000 x3
Cl: 0.0000 0.0000 0.0860 x6

A relaxed ScSi2Cl crystal, computed with PBEsol.

The crystal system is orthorhombic. The energy above the most stable polymorph in this dataset is 29 meV/atom.

a b c (Å): 2.978 3.287 7.707
angles (deg): 90.00 90.00 90.00
Space group Pmm2 (No. 25)
Inequivalent atoms, fractional coordinates:
Sc: 0.000 0.000 0.000 x1
Si: 0.000 0.000 0.399 x1
Si: 0.500 0.500 0.238 x1
Cl: 0.500 0.500 0.802 x1

A relaxed ScSnCl3 crystal, computed with PBEsol.

The crystal system is cubic.

a b c (Å): 4.953 4.953 4.953
angles (deg): 90.00 90.00 90.00
Space group Pm-3m (No. 221)
Inequivalent atoms, fractional coordinates:
Sc: 0.000 0.000 0.000 x1
Sn: 0.500 0.500 0.500 x1
Cl: 0.000 0.000 0.500 x3

A relaxed Sr2ScCl crystal, computed with PBEsol.

The crystal system is orthorhombic. The energy above the most stable polymorph in this dataset is 144 meV/atom.

a b c (Å): 3.896 6.314 10.491
angles (deg): 90.00 90.00 90.00
Space group Cmm2 (No. 35)
Inequivalent atoms, fractional coordinates:
Sr: 0.000 0.000 0.000 x2
Sr: 0.000 0.500 0.330 x2
Sc: 0.000 0.000 0.599 x2
Cl: 0.000 0.500 0.779 x2

A relaxed Sr2ScCl crystal, computed with PBEsol.

The crystal system is monoclinic. The energy above the most stable polymorph in this dataset is 3 meV/atom.

a b c (Å): 3.860 3.710 9.800
angles (deg): 90.00 90.56 90.00
Space group P2/m (No. 10)
Inequivalent atoms, fractional coordinates:
Sr: 0.006 0.000 0.262 x2
Sc: 0.500 0.500 0.000 x1
Cl: 0.000 0.500 0.500 x1

A relaxed SrSc3Cl crystal, computed with PBEsol.

The crystal system is cubic.

a b c (Å): 5.308 5.308 5.308
angles (deg): 90.00 90.00 90.00
Space group Pm-3m (No. 221)
Inequivalent atoms, fractional coordinates:
Sr: 0.000 0.000 0.000 x1
Sc: 0.000 0.000 0.500 x3
Cl: 0.500 0.500 0.500 x1

A relaxed Sr2ScCl crystal, computed with PBEsol.

The crystal system is orthorhombic. The energy above the most stable polymorph in this dataset is 0 meV/atom.

a b c (Å): 4.202 6.027 9.995
angles (deg): 90.00 90.00 90.00
Space group Cmmm (No. 65)
Inequivalent atoms, fractional coordinates:
Sr: 0.000 0.000 0.224 x4
Sc: 0.000 0.500 0.500 x2
Cl: 0.000 0.500 0.000 x2

In eV/atom, the raw formation energy values for the records above are, in order, -2.0426; -0.9273; -1.3202; -1.2928; -0.8182; -0.9226; -2.0642; -0.5787; -2.0381; -1.7982; -1.0575; -1.2418; -1.1426; -0.8394; -1.8314; -0.4312; -0.1982; -0.4856; -1.0579; -0.5639; -0.5741; -0.4714; -0.3635; -0.5450; -1.0829; -0.4728; -0.6130; 1.2808; -0.6163.
In states/eV/cell, the N(E_F) values for the records above are, in order, 0.0; 7.2; 3.0; 2.2; 8.8; 3.9; 0.0; 4.2; 0.0; 7.0; 11.7; 3.2; 7.6; 5.0; 0.0; 9.2; 13.4; 3.6; 1.5; 3.8; 1.0; 3.1; 5.6; 2.2; 4.3; 5.9; 4.9; 4.7; 7.1.